No. 1
Material: SnTeCl2
Method: DFT, PBE
State: relaxed

Values from the calculation:
The polymorph energy (0 for the lowest one) comes out at 247.8 meV/atom. As for the space group: Fm-3m, No. 225. Its size of the total moment is 1.75 μB/f.u. As for the formation energy without anion corrections: -0.043 eV/atom.

abc: 7.4944 7.4944 7.4944
angles: 90.00 90.00 90.00
Sites, in units of the cell vectors:
Sn1 0.0000 0.0000 0.0000
Sn2 0.0000 0.5000 0.5000
Sn3 0.5000 0.0000 0.5000
Sn4 0.5000 0.5000 0.0000
Te1 0.0000 0.0000 0.5000
Te2 0.0000 0.5000 0.0000
Te3 0.5000 0.0000 0.0000
Te4 0.5000 0.5000 0.5000
Cl1 0.2500 0.2500 0.2500
Cl2 0.2500 0.2500 0.7500
Cl3 0.2500 0.7500 0.2500
Cl4 0.2500 0.7500 0.7500
Cl5 0.7500 0.2500 0.2500
Cl6 0.7500 0.2500 0.7500
Cl7 0.7500 0.7500 0.2500
Cl8 0.7500 0.7500 0.7500

No. 2
Material: Sn2TeCl
Method: DFT, PBE
State: relaxed

Values from the calculation:
The polymorph energy (0 for the lowest one) comes out at 0.0 meV/atom. As for the space group: C2/c, No. 15. Its size of the total moment is 0.00 μB/f.u. As for the formation energy without anion corrections: -0.323 eV/atom.

abc: 9.7233 9.7233 6.6255
angles: 101.77 101.77 122.02
Sites, in units of the cell vectors:
Sn1 0.0529 0.4301 0.2320
Sn2 0.1861 0.3120 0.7521
Sn3 0.3120 0.1861 0.2521
Sn4 0.4301 0.0529 0.7320
Sn5 0.5699 0.9471 0.2680
Sn6 0.6880 0.8139 0.7479
Sn7 0.8139 0.6880 0.2479
Sn8 0.9471 0.5699 0.7680
Te1 0.0683 0.9317 0.7500
Te2 0.3078 0.6922 0.7500
Te3 0.6922 0.3078 0.2500
Te4 0.9317 0.0683 0.2500
Cl1 0.1743 0.8257 0.2500
Cl2 0.4569 0.5431 0.2500
Cl3 0.5431 0.4569 0.7500
Cl4 0.8257 0.1743 0.7500

No. 3
Material: Sn2TeCl2
Method: DFT, PBE
State: relaxed

Values from the calculation:
The polymorph energy (0 for the lowest one) comes out at 136.3 meV/atom. As for the space group: P4/mbm, No. 127. Its size of the total moment is 0.00 μB/f.u. As for the formation energy without anion corrections: -0.486 eV/atom.

abc: 8.6344 8.6344 4.1925
angles: 90.00 90.00 90.00
Sites, in units of the cell vectors:
Sn1 0.2065 0.2935 0.0000
Sn2 0.2935 0.7935 0.0000
Sn3 0.7065 0.2065 0.0000
Sn4 0.7935 0.7065 0.0000
Te1 0.0000 0.0000 0.0000
Te2 0.5000 0.5000 0.0000
Cl1 0.1460 0.6460 0.5000
Cl2 0.3540 0.1460 0.5000
Cl3 0.6460 0.8540 0.5000
Cl4 0.8540 0.3540 0.5000

No. 4
Material: Sn2Te2Cl
Method: DFT, PBE
State: relaxed

Values from the calculation:
The polymorph energy (0 for the lowest one) comes out at 60.6 meV/atom. As for the space group: P-1, No. 2. Its size of the total moment is 0.00 μB/f.u. As for the formation energy without anion corrections: -0.358 eV/atom.

abc: 4.4292 6.1259 7.1496
angles: 113.48 96.70 102.92
Sites, in units of the cell vectors:
Sn1 0.0720 0.4064 0.1912
Sn2 0.9280 0.5936 0.8088
Te1 0.2446 0.2506 0.5265
Te2 0.7554 0.7494 0.4735
Cl1 0.5000 0.0000 0.0000

No. 5
Material: Sn2TeCl
Method: DFT, PBE
State: relaxed

Values from the calculation:
The polymorph energy (0 for the lowest one) comes out at 29.8 meV/atom. As for the space group: Fm-3m, No. 225. Its size of the total moment is 0.00 μB/f.u. As for the formation energy without anion corrections: -0.293 eV/atom.

abc: 7.5862 7.5862 7.5862
angles: 90.00 90.00 90.00
Sites, in units of the cell vectors:
Sn1 0.2500 0.2500 0.2500
Sn2 0.2500 0.2500 0.7500
Sn3 0.2500 0.7500 0.2500
Sn4 0.2500 0.7500 0.7500
Sn5 0.7500 0.2500 0.2500
Sn6 0.7500 0.2500 0.7500
Sn7 0.7500 0.7500 0.2500
Sn8 0.7500 0.7500 0.7500
Te1 0.0000 0.0000 0.0000
Te2 0.0000 0.5000 0.5000
Te3 0.5000 0.0000 0.5000
Te4 0.5000 0.5000 0.0000
Cl1 0.0000 0.0000 0.5000
Cl2 0.0000 0.5000 0.0000
Cl3 0.5000 0.0000 0.0000
Cl4 0.5000 0.5000 0.5000

No. 6
Material: Sn2TeCl
Method: DFT, PBE
State: relaxed

Values from the calculation:
The polymorph energy (0 for the lowest one) comes out at 61.6 meV/atom. As for the space group: I-42d, No. 122. Its size of the total moment is 0.00 μB/f.u. As for the formation energy without anion corrections: -0.261 eV/atom.

abc: 8.2541 8.2541 7.2100
angles: 90.00 90.00 90.00
Sites, in units of the cell vectors:
Sn1 0.2492 0.7500 0.1250
Sn2 0.2500 0.2492 0.8750
Sn3 0.2500 0.2508 0.3750
Sn4 0.2508 0.7500 0.6250
Sn5 0.7492 0.2500 0.6250
Sn6 0.7500 0.7492 0.3750
Sn7 0.7500 0.7508 0.8750
Sn8 0.7508 0.2500 0.1250
Te1 0.0000 0.0000 0.5000
Te2 0.0000 0.5000 0.7500
Te3 0.5000 0.0000 0.2500
Te4 0.5000 0.5000 0.0000
Cl1 0.0000 0.0000 0.0000
Cl2 0.0000 0.5000 0.2500
Cl3 0.5000 0.0000 0.7500
Cl4 0.5000 0.5000 0.5000

No. 7
Material: Sn2TeCl
Method: DFT, PBE
State: relaxed

Values from the calculation:
The polymorph energy (0 for the lowest one) comes out at 94.3 meV/atom. As for the space group: R-3m, No. 166. Its size of the total moment is 0.00 μB/f.u. As for the formation energy without anion corrections: -0.229 eV/atom.

abc: 5.5740 5.5740 18.7061
angles: 90.00 90.00 120.00
Sites, in units of the cell vectors:
Sn1 0.0000 0.0000 0.1414
Sn2 0.0000 0.0000 0.8586
Sn3 0.3333 0.6667 0.5253
Sn4 0.3333 0.6667 0.8080
Sn5 0.6667 0.3333 0.1920
Sn6 0.6667 0.3333 0.4747
Te1 0.0000 0.0000 0.5000
Te2 0.3333 0.6667 0.1667
Te3 0.6667 0.3333 0.8333
Cl1 0.0000 0.0000 0.0000
Cl2 0.3333 0.6667 0.6667
Cl3 0.6667 0.3333 0.3333

No. 8
Material: Sn2TeCl2
Method: DFT, PBE
State: relaxed

Values from the calculation:
The polymorph energy (0 for the lowest one) comes out at 127.4 meV/atom. As for the space group: I4/mmm, No. 139. Its size of the total moment is 0.00 μB/f.u. As for the formation energy without anion corrections: -0.495 eV/atom.

abc: 4.4860 4.4860 13.8639
angles: 90.00 90.00 90.00
Sites, in units of the cell vectors:
Sn1 0.0000 0.0000 0.1182
Sn2 0.0000 0.0000 0.8818
Sn3 0.5000 0.5000 0.3818
Sn4 0.5000 0.5000 0.6182
Te1 0.0000 0.0000 0.5000
Te2 0.5000 0.5000 0.0000
Cl1 0.0000 0.5000 0.2500
Cl2 0.0000 0.5000 0.7500
Cl3 0.5000 0.0000 0.2500
Cl4 0.5000 0.0000 0.7500

No. 9
Material: Sn2Te2Cl
Method: DFT, PBE
State: relaxed

Values from the calculation:
The polymorph energy (0 for the lowest one) comes out at 0.0 meV/atom. As for the space group: P2_1/m, No. 11. Its size of the total moment is 0.00 μB/f.u. As for the formation energy without anion corrections: -0.419 eV/atom.

abc: 6.1653 4.2728 12.6998
angles: 90.00 90.80 90.00
Sites, in units of the cell vectors:
Sn1 0.2415 0.2500 0.2226
Sn2 0.2542 0.2500 0.6062
Sn3 0.7458 0.7500 0.3938
Sn4 0.7585 0.7500 0.7774
Te1 0.2466 0.7500 0.4111
Te2 0.2586 0.7500 0.7747
Te3 0.7414 0.2500 0.2253
Te4 0.7534 0.2500 0.5889
Cl1 0.2394 0.7500 0.0882
Cl2 0.7606 0.2500 0.9118

No. 10
Material: Sn2Te2Cl
Method: DFT, PBE
State: relaxed

Values from the calculation:
The polymorph energy (0 for the lowest one) comes out at 244.7 meV/atom. As for the space group: P4/mbm, No. 127. Its size of the total moment is 0.00 μB/f.u. As for the formation energy without anion corrections: -0.174 eV/atom.

abc: 8.6935 8.6935 3.9184
angles: 90.00 90.00 90.00
Sites, in units of the cell vectors:
Sn1 0.1518 0.3482 0.0000
Sn2 0.3482 0.8482 0.0000
Sn3 0.6518 0.1518 0.0000
Sn4 0.8482 0.6518 0.0000
Te1 0.1413 0.6413 0.5000
Te2 0.3587 0.1413 0.5000
Te3 0.6413 0.8587 0.5000
Te4 0.8587 0.3587 0.5000
Cl1 0.0000 0.0000 0.5000
Cl2 0.5000 0.5000 0.5000

No. 11
Material: SnTe3Cl
Method: DFT, PBE
State: relaxed

Values from the calculation:
The polymorph energy (0 for the lowest one) comes out at 0.0 meV/atom. As for the space group: Pm-3m, No. 221. Its size of the total moment is 0.00 μB/f.u. As for the formation energy without anion corrections: 0.492 eV/atom.

abc: 5.4327 5.4327 5.4327
angles: 90.00 90.00 90.00
Sites, in units of the cell vectors:
Sn1 0.0000 0.0000 0.0000
Te1 0.0000 0.5000 0.5000
Te2 0.5000 0.0000 0.5000
Te3 0.5000 0.5000 0.0000
Cl1 0.5000 0.5000 0.5000

No. 12
Material: SnTeCl2
Method: DFT, PBE
State: relaxed

Values from the calculation:
The polymorph energy (0 for the lowest one) comes out at 22.3 meV/atom. As for the space group: I-42d, No. 122. Its size of the total moment is 1.14 μB/f.u. As for the formation energy without anion corrections: -0.269 eV/atom.

abc: 9.6812 9.6812 5.9701
angles: 90.00 90.00 90.00
Sites, in units of the cell vectors:
Sn1 0.0000 0.0000 0.0000
Sn2 0.0000 0.5000 0.2500
Sn3 0.5000 0.0000 0.7500
Sn4 0.5000 0.5000 0.5000
Te1 0.0000 0.0000 0.5000
Te2 0.0000 0.5000 0.7500
Te3 0.5000 0.0000 0.2500
Te4 0.5000 0.5000 0.0000
Cl1 0.1180 0.2500 0.1250
Cl2 0.2500 0.6180 0.3750
Cl3 0.2500 0.8820 0.8750
Cl4 0.3820 0.2500 0.6250
Cl5 0.6180 0.7500 0.6250
Cl6 0.7500 0.1180 0.8750
Cl7 0.7500 0.3820 0.3750
Cl8 0.8820 0.7500 0.1250